Crystalline Ga3PRu at its relaxed geometry. Source: Alexandria, functional PBE.

Results
The formation energy comes out at 0.88 eV per atom. The crystal system is cubic. Its density of states at the Fermi level is 3.96 states/eV/cell. The calculation puts the distance to the lowest polymorph of the same formula at 463 meV/atom. The total energy comes out at -3.87 eV/atom.

Unit cell a=4.6753 b=4.6753 c=4.6753 alpha=90.00 beta=90.00 gamma=90.00
With the nearest neighbours (Å) after each atom.
Element x y z (fractional)
Ga: 0.0000 0.0000 0.5000  2 P 2.34
Ga: 0.0000 0.5000 0.0000  2 P 2.34
Ga: 0.5000 0.0000 0.0000  2 P 2.34
P: 0.0000 0.0000 0.0000  6 Ga 2.34
Ru: 0.5000 0.5000 0.5000  12 Ga 3.31